# 1
LiAsPt, relaxed, DFT PBEsol; magnetic moment = 0.0000 μB/atom; Fermi-level density of states = 0.422 states/eV per atom; theoretical density = 10.20 g/cm³; energy of formation = -54.9 kJ/mol of atoms
1.0
4.2797 0.0000 0.0000
-2.1399 3.7064 0.0000
0.0000 0.0000 2.8427
Li As Pt
1 1 1
Direct
0.0000 0.0000 0.0000 Li
0.6667 0.3333 0.5000 As
0.3333 0.6667 0.5000 Pt

=====

# 2
Li2AsPt, relaxed, DFT PBEsol; magnetic moment = 0.0000 μB/atom; Fermi-level density of states = 0.407 states/eV per atom; theoretical density = 7.48 g/cm³; energy of formation = -61.5 kJ/mol of atoms
1.0
2.0891 1.2061 4.1675
-2.0891 1.2061 4.1675
0.0000 -2.4123 4.1675
Li As Pt
2 1 1
Direct
0.0000 0.0000 0.0000 Li
0.2247 0.2247 0.2247 Li
0.7782 0.7782 0.7782 As
0.4415 0.4415 0.4415 Pt

=====

# 3
LiAs2Pt2, relaxed, DFT PBEsol; magnetic moment = 0.0000 μB/atom; Fermi-level density of states = 0.414 states/eV per atom; theoretical density = 10.93 g/cm³; energy of formation = -25.9 kJ/mol of atoms
1.0
7.2429 0.0000 0.0000
0.0000 7.2429 0.0000
0.0000 0.0000 3.1667
Li As Pt
2 4 4
Direct
0.0000 0.0000 0.0000 Li
0.5000 0.5000 0.0000 Li
0.1644 0.3356 0.5000 As
0.3356 0.8356 0.5000 As
0.6644 0.1644 0.5000 As
0.8356 0.6644 0.5000 As
0.1377 0.6377 0.0000 Pt
0.3623 0.1377 0.0000 Pt
0.6377 0.8623 0.0000 Pt
0.8623 0.3623 0.0000 Pt